1.
Density functional theory data (PBE-GGA) for an optimized crystal structure of TlCd4Ru.

Calculated values
DFT total energy	-2.08	eV per atom
M_tot	0.16	Bohr magnetons per cell

Unit cell a=8.0099 b=8.0099 c=8.0099 alpha=90.00 beta=90.00 gamma=90.00
Space group F-43m (No. 216)
One atom of each set of equivalent atoms:
Tl 0.0000 0.0000 0.0000 [4 per cell]
Cd 0.1242 0.1242 0.6242 [16 per cell]
Ru 0.2500 0.2500 0.2500 [4 per cell]

***

2.
Density functional theory data (PBE-GGA) for an optimized crystal structure of K2CdSn2.

Calculated values
energy above the most stable polymorph in this dataset	0.831	eV/f.u.
M_tot	0.00	Bohr magnetons per cell

Unit cell a=10.3135 b=10.3135 c=3.4800 alpha=90.00 beta=90.00 gamma=90.00
Space group P4/mbm (No. 127)
One atom of each set of equivalent atoms:
K 0.1993 0.3007 0.0000 [4 per cell]
Cd 0.0000 0.0000 0.5000 [2 per cell]
Sn 0.0966 0.5966 0.5000 [4 per cell]

***

3.
Density functional theory data (PBE-GGA) for an optimized crystal structure of V3Pt2Rh7.

Calculated values
DFT total energy	-7.70	eV per atom
M_tot	0.00	Bohr magnetons per cell

Unit cell a=4.5876 b=2.7278 c=15.1536 alpha=90.00 beta=95.28 gamma=90.00
Space group P2/m (No. 10)
One atom of each set of equivalent atoms:
V 0.0000 0.0000 0.0000 [1 per cell]
V 0.3044 0.0000 0.5869 [2 per cell]
Pt 0.0966 0.5000 0.7085 [2 per cell]
Rh 0.1933 0.5000 0.1388 [2 per cell]
Rh 0.2419 0.5000 0.4436 [2 per cell]
Rh 0.3002 0.0000 0.8554 [2 per cell]
Rh 0.5000 0.5000 0.0000 [1 per cell]

***

4.
Density functional theory data (PBE-GGA) for an optimized crystal structure of Tb4DyTm5.

Calculated values
energy above the most stable polymorph in this dataset	2.501	eV/f.u.
M_tot	0.00	Bohr magnetons per cell

Unit cell a=10.1396 b=10.1396 c=6.1951 alpha=90.00 beta=90.00 gamma=90.00
Space group I4 (No. 79)
One atom of each set of equivalent atoms:
Tb 0.0476 0.6530 0.0000 [8 per cell]
Dy 0.0000 0.0000 0.7688 [2 per cell]
Tm 0.0000 0.0000 0.2316 [2 per cell]
Tm 0.1462 0.7689 0.4985 [8 per cell]

***

5.
Density functional theory data (PBE-GGA) for an optimized crystal structure of PrThRhSe.

Calculated values
raw formation energy	-1.205	eV per atom
M_tot	0.00	Bohr magnetons per cell

Unit cell a=4.0765 b=4.0765 c=22.7236 alpha=90.00 beta=90.00 gamma=120.00
Space group R3m (No. 160, hexagonal axes)
One atom of each set of equivalent atoms:
Pr 0.0000 0.0000 0.0000 [3 per cell]
Th 0.0000 0.0000 0.1870 [3 per cell]
Rh 0.0000 0.0000 0.5863 [3 per cell]
Se 0.0000 0.0000 0.7612 [3 per cell]

***

6.
Density functional theory data (PBE-GGA) for an optimized crystal structure of NaLiPPd2.

Calculated values
DFT total energy	-4.20	eV per atom
M_tot	0.00	Bohr magnetons per cell

Unit cell a=4.5704 b=4.5704 c=4.6353 alpha=90.00 beta=90.00 gamma=90.00
Space group P4/mmm (No. 123)
One atom of each set of equivalent atoms:
Na 0.0000 0.0000 0.0000 [1 per cell]
Li 0.5000 0.5000 0.0000 [1 per cell]
P 0.5000 0.5000 0.5000 [1 per cell]
Pd 0.0000 0.5000 0.5000 [2 per cell]

***

7.
Density functional theory data (PBE-GGA) for an optimized crystal structure of TbPu2Mn3.

Calculated values
energy above the most stable polymorph in this dataset	0.660	eV/f.u.
M_tot	15.33	Bohr magnetons per cell

Unit cell a=9.3873 b=7.7821 c=6.2325 alpha=90.00 beta=90.00 gamma=90.00
Space group Cmcm (No. 63)
One atom of each set of equivalent atoms:
Tb 0.0000 0.1930 0.2500 [4 per cell]
Pu 0.2179 0.5000 0.0000 [8 per cell]
Mn 0.0000 0.4215 0.7500 [4 per cell]
Mn 0.1604 0.1610 0.7500 [8 per cell]

***

8.
Density functional theory data (PBE-GGA) for an optimized crystal structure of TaCd2Ni.

Calculated values
energy above the most stable polymorph in this dataset	1.369	eV/f.u.
M_tot	0.00	Bohr magnetons per cell

Unit cell a=5.5420 b=9.7232 c=2.7776 alpha=90.00 beta=108.71 gamma=90.00
Space group C2/m (No. 12)
One atom of each set of equivalent atoms:
Ta 0.0000 0.0000 0.0000 [2 per cell]
Cd 0.2500 0.2500 0.5000 [4 per cell]
Ni 0.0000 0.5000 0.0000 [2 per cell]

***

9.
Density functional theory data (PBE-GGA) for an optimized crystal structure of NbRuO2.

Calculated values
raw formation energy	-0.671	eV per atom
energy above the most stable polymorph in this dataset	2.327	eV/f.u.
M_tot	0.00	Bohr magnetons per cell

Unit cell a=3.2901 b=3.2901 c=16.7427 alpha=90.00 beta=90.00 gamma=120.00
Space group R-3m (No. 166, hexagonal axes)
One atom of each set of equivalent atoms:
Nb 0.0000 0.0000 0.0000 [3 per cell]
Ru 0.0000 0.0000 0.5000 [3 per cell]
O 0.0000 0.0000 0.1190 [6 per cell]

***

10.
Density functional theory data (PBE-GGA) for an optimized crystal structure of Cd6Ag8Ge.

Calculated values
DFT total energy	-2.16	eV per atom
M_tot	0.00	Bohr magnetons per cell

Unit cell a=7.5588 b=7.5588 c=18.1407 alpha=90.00 beta=90.00 gamma=120.00
Space group R-3 (No. 148, hexagonal axes)
One atom of each set of equivalent atoms:
Cd 0.0432 0.7855 0.2241 [18 per cell]
Ag 0.0000 0.0000 0.3491 [6 per cell]
Ag 0.0367 0.7915 0.0622 [18 per cell]
Ge 0.0000 0.0000 0.5000 [3 per cell]

***

11.
Density functional theory data (PBE-GGA) for an optimized crystal structure of TbPr2PaAs4.

Calculated values
DFT total energy	-6.69	eV per atom
M_tot	0.00	Bohr magnetons per cell

Unit cell a=7.2544 b=4.2071 c=7.3079 alpha=90.00 beta=109.40 gamma=90.00
Space group P2/m (No. 10)
One atom of each set of equivalent atoms:
Tb 0.0000 0.0000 0.0000 [1 per cell]
Pr 0.0000 0.5000 0.5000 [1 per cell]
Pr 0.5000 0.0000 0.5000 [1 per cell]
Pa 0.5000 0.5000 0.0000 [1 per cell]
As 0.2502 0.5000 0.2354 [2 per cell]
As 0.2584 0.0000 0.7657 [2 per cell]

***

12.
Density functional theory data (PBE-GGA) for an optimized crystal structure of KHfSiPt2.

Calculated values
raw formation energy	0.577	eV per atom
M_tot	0.00	Bohr magnetons per cell

Unit cell a=4.6196 b=4.6196 c=5.0494 alpha=90.00 beta=90.00 gamma=90.00
Space group P4/mmm (No. 123)
One atom of each set of equivalent atoms:
K 0.0000 0.0000 0.0000 [1 per cell]
Hf 0.5000 0.5000 0.0000 [1 per cell]
Si 0.0000 0.0000 0.5000 [1 per cell]
Pt 0.0000 0.5000 0.5000 [2 per cell]